# 1
{
  "formula": "Mg2MnCl",
  "functional": "GGA-PBE",
  "state": "optimized geometry",
  "raw_formation_energy_mev_per_atom": -305,
  "rho_g_cm3": 2.87,
  "volume_a3_per_fu": 80.4,
  "polymorph_energy_kj_per_mol_atoms": 0.0,
  "magmom_total_mub_per_fu": 3.4,
  "lattice": [[-1.365, -1.142, 2.601], [-1.973, -1.857, -1.850], [5.225, -5.753, 0.217]],
  "species": ["Mg", "Mg", "Cl", "Mn"],
  "fractional_positions": [[0.000, 0.749, 0.022], [0.000, 0.751, 0.478], [0.500, 0.750, 0.750], [0.500, 0.250, 0.250]]
}

# 2
{
  "formula": "BaFe2Co",
  "functional": "GGA-PBE",
  "state": "optimized geometry",
  "ef_ev_per_atom": 1.070,
  "rho_g_cm3": 7.20,
  "volume_a3_per_fu": 71.0,
  "polymorph_energy_kj_per_mol_atoms": 71.6,
  "magmom_total_mub_per_fu": 6.2,
  "lattice": [[-1.214, 3.047, -0.488], [-3.816, -1.158, 2.264], [1.945, 1.415, 4.002]],
  "species": ["Ba", "Fe", "Fe", "Co"],
  "fractional_positions": [[0.500, 0.000, 0.500], [0.500, 0.500, 0.000], [0.000, 0.000, 0.000], [0.000, 0.500, 0.500]]
}

# 3
{
  "formula": "RbPuBr6",
  "functional": "GGA-PBE",
  "state": "optimized geometry",
  "raw_formation_energy_mev_per_atom": -1246,
  "rho_g_cm3": 4.17,
  "volume_a3_per_fu": 321.9,
  "polymorph_energy_kj_per_mol_atoms": 0.0,
  "magmom_total_mub_per_fu": 3.0,
  "lattice": [[6.916, 0.910, -1.259], [-2.856, 6.364, -1.259], [0.032, 0.058, 6.886]],
  "species": ["Rb", "Pu", "Br", "Br", "Br", "Br", "Br", "Br"],
  "fractional_positions": [[0.000, 0.000, 0.000], [0.500, 0.500, 0.500], [0.449, 0.787, 0.781], [0.551, 0.213, 0.219], [0.787, 0.449, 0.781], [0.781, 0.781, 0.405], [0.219, 0.219, 0.595], [0.213, 0.551, 0.219]]
}

# 4
{
  "formula": "AcPr2I8",
  "functional": "GGA-PBE",
  "state": "optimized geometry",
  "raw_formation_energy_mev_per_atom": -1262,
  "rho_g_cm3": 5.95,
  "volume_a3_per_fu": 425.6,
  "magmom_total_mub_per_fu": 1.0,
  "lattice": [[-5.819, -1.512, 1.849], [1.228, -6.156, -6.044], [4.353, -1.832, 7.324]],
  "species": ["I", "I", "I", "I", "I", "I", "I", "I", "Ac", "Pr", "Pr"],
  "fractional_positions": [[0.325, 0.633, 0.633], [0.675, 0.367, 0.367], [0.500, 0.766, 0.234], [0.924, 0.935, 0.679], [0.500, 0.234, 0.766], [0.076, 0.321, 0.065], [0.076, 0.065, 0.321], [0.924, 0.679, 0.935], [0.500, 0.000, 0.000], [0.000, 0.683, 0.317], [0.000, 0.317, 0.683]]
}

# 5
{
  "formula": "EuTlGaBi",
  "functional": "GGA-PBE",
  "state": "optimized geometry",
  "ef_ev_per_atom": -0.246,
  "rho_g_cm3": 8.95,
  "volume_a3_per_fu": 117.8,
  "magmom_total_mub_per_fu": 7.1,
  "lattice": [[5.503, 0.000, 0.000], [2.751, 4.766, 0.000], [2.751, 1.589, 4.493]],
  "species": ["Ga", "Tl", "Bi", "Eu"],
  "fractional_positions": [[0.750, 0.750, 0.750], [0.000, 0.000, 0.000], [0.500, 0.500, 0.500], [0.250, 0.250, 0.250]]
}

# 6
{
  "formula": "RhW2Se",
  "functional": "GGA-PBE",
  "state": "optimized geometry",
  "raw_formation_energy_mev_per_atom": 568,
  "rho_g_cm3": 14.46,
  "volume_a3_per_fu": 63.1,
  "magmom_total_mub_per_fu": 0.0,
  "lattice": [[4.945, 0.000, 0.000], [1.825, 4.595, 0.000], [-3.385, -2.298, 2.777]],
  "species": ["W", "W", "Se", "Rh"],
  "fractional_positions": [[0.250, 0.750, 0.500], [0.000, 0.000, 0.000], [0.750, 0.250, 0.500], [0.500, 0.500, 0.000]]
}